Record 1
The following is a DFT calculation (SCAN) of Ca4Al3CrSiBO14 at its PBEsol-relaxed geometry.

The formation energy from raw total energies is -305.0 kJ/mol of atoms. As for the total moment: 2.000 Bohr magnetons per cell.

a = 4.9846 Å, b = 7.5959 Å, c = 7.6345 Å
α = 90.69°, β = 91.42°, γ = 90.13°
Element x y z (fractional)
1 Ca 0.0000 0.0000 0.0000
2 Ca 0.0056 0.1789 0.5303
3 Ca 0.0138 0.6767 0.3255
4 Ca 0.9686 0.4853 0.8676
5 Al 0.4897 0.3363 0.1768
6 Al 0.4982 0.8613 0.6834
7 Al 0.5315 0.7005 0.0379
8 Cr 0.4559 0.4844 0.5496
9 Si 0.5532 0.9903 0.3271
10 B 0.4355 0.2001 0.8318
11 O 0.1873 0.7003 0.0424
12 O 0.2305 0.9905 0.3269
13 O 0.2804 0.4125 0.3497
14 O 0.2971 0.0346 0.7620
15 O 0.3002 0.2440 0.0011
16 O 0.2996 0.6940 0.5761
17 O 0.3148 0.3449 0.7096
18 O 0.6818 0.8543 0.1849
19 O 0.6912 0.7554 0.8435
20 O 0.6949 0.5087 0.1119
21 O 0.6964 0.1785 0.2808
22 O 0.7036 0.9371 0.5140
23 O 0.7206 0.1967 0.8353
24 O 0.7951 0.4803 0.5460

=====

Record 2
The following is a DFT calculation (SCAN) of CaAlBO4 at its PBEsol-relaxed geometry.

The formation energy from raw total energies is -306.8 kJ/mol of atoms. As for the total moment: 0.002 Bohr magnetons per cell.

a = 8.6532 Å, b = 8.6532 Å, c = 5.7650 Å
α = 90.00°, β = 90.00°, γ = 123.28°
Element x y z (fractional)
1 Ca 0.0501 0.2356 0.0000
2 Ca 0.2356 0.0501 0.5000
3 Ca 0.7644 0.9499 0.5000
4 Ca 0.9499 0.7644 0.0000
5 Al 0.2778 0.6921 0.7269
6 Al 0.3079 0.7222 0.2269
7 Al 0.6921 0.2778 0.2269
8 Al 0.7222 0.3079 0.7269
9 B 0.1523 0.3729 0.4633
10 B 0.3729 0.1523 0.9633
11 B 0.6271 0.8477 0.9633
12 B 0.8477 0.6271 0.4633
13 O 0.0733 0.1875 0.4312
14 O 0.1699 0.4485 0.6819
15 O 0.1875 0.0733 0.9312
16 O 0.2000 0.7368 0.9805
17 O 0.2166 0.4829 0.2664
18 O 0.2632 0.8000 0.4805
19 O 0.4485 0.1699 0.1819
20 O 0.4829 0.2166 0.7664
21 O 0.5171 0.7834 0.7664
22 O 0.5515 0.8301 0.1819
23 O 0.7368 0.2000 0.4805
24 O 0.7834 0.5171 0.2664
25 O 0.8000 0.2632 0.9805
26 O 0.8125 0.9267 0.9312
27 O 0.8301 0.5515 0.6819
28 O 0.9267 0.8125 0.4312

=====

Record 3
The following is a DFT calculation (SCAN) of CaZrAl9BO18 at its PBEsol-relaxed geometry.

The formation energy from raw total energies is -326.3 kJ/mol of atoms. As for the total moment: 0.000 Bohr magnetons per cell.

a = 8.7273 Å, b = 8.7273 Å, c = 8.4872 Å
α = 90.00°, β = 90.00°, γ = 120.00°
Element x y z (fractional)
1 Ca 0.0000 0.0000 0.0000
2 Ca 0.0000 0.0000 0.5000
3 Zr 0.3333 0.6667 0.2500
4 Zr 0.6667 0.3333 0.7500
5 Al 0.0049 0.3373 0.2500
6 Al 0.0175 0.3610 0.5782
7 Al 0.0175 0.3610 0.9218
8 Al 0.3323 0.9951 0.2500
9 Al 0.3373 0.3323 0.7500
10 Al 0.3435 0.9825 0.5782
11 Al 0.3435 0.9825 0.9218
12 Al 0.3610 0.3435 0.0782
13 Al 0.3610 0.3435 0.4218
14 Al 0.6390 0.6565 0.5782
15 Al 0.6390 0.6565 0.9218
16 Al 0.6565 0.0175 0.0782
17 Al 0.6565 0.0175 0.4218
18 Al 0.6627 0.6677 0.2500
19 Al 0.6677 0.0049 0.7500
20 Al 0.9825 0.6390 0.0782
21 Al 0.9825 0.6390 0.4218
22 Al 0.9951 0.6627 0.7500
23 B 0.3333 0.6667 0.7500
24 B 0.6667 0.3333 0.2500
25 O 0.1070 0.8080 0.5823
26 O 0.1070 0.8080 0.9177
27 O 0.1110 0.7805 0.2500
28 O 0.1188 0.5233 0.0925
29 O 0.1188 0.5233 0.4075
30 O 0.1531 0.5525 0.7500
31 O 0.1920 0.2989 0.5823
32 O 0.1920 0.2989 0.9177
33 O 0.2195 0.3305 0.2500
34 O 0.2989 0.1070 0.0823
35 O 0.2989 0.1070 0.4177
36 O 0.3305 0.1110 0.7500
37 O 0.3994 0.8469 0.7500
38 O 0.4045 0.8812 0.0925
39 O 0.4045 0.8812 0.4075
40 O 0.4475 0.6006 0.7500
41 O 0.4767 0.5955 0.0925
42 O 0.4767 0.5955 0.4075
43 O 0.5233 0.4045 0.5925
44 O 0.5233 0.4045 0.9075
45 O 0.5525 0.3994 0.2500
46 O 0.5955 0.1188 0.5925
47 O 0.5955 0.1188 0.9075
48 O 0.6006 0.1531 0.2500
49 O 0.6695 0.8890 0.2500
50 O 0.7011 0.8930 0.5823
51 O 0.7011 0.8930 0.9177
52 O 0.7805 0.6695 0.7500
53 O 0.8080 0.7011 0.0823
54 O 0.8080 0.7011 0.4177
55 O 0.8469 0.4475 0.2500
56 O 0.8812 0.4767 0.5925
57 O 0.8812 0.4767 0.9075
58 O 0.8890 0.2195 0.7500
59 O 0.8930 0.1920 0.0823
60 O 0.8930 0.1920 0.4177

=====

Record 4
The following is a DFT calculation (SCAN) of Ca2AlBW at its PBEsol-relaxed geometry.

The energy relative to the elements comes out at 1167 meV per atom. As for the total moment: 1.871 Bohr magnetons per cell.

a = 5.5526 Å, b = 5.5526 Å, c = 4.1153 Å
α = 90.00°, β = 90.00°, γ = 90.00°
Element x y z (fractional)
1 Ca 0.0000 0.5000 0.0000
2 Ca 0.5000 0.0000 0.0000
3 Al 0.0000 0.0000 0.5000
4 B 0.5000 0.5000 0.5000
5 W 0.5000 0.5000 0.0000

=====

Record 5
The following is a DFT calculation (SCAN) of AlCd3B at its PBEsol-relaxed geometry.

The energy relative to the elements comes out at 1305 meV per atom. As for the total moment: 0.000 Bohr magnetons per cell.

a = 5.0342 Å, b = 5.0342 Å, c = 5.0342 Å
α = 90.00°, β = 90.00°, γ = 90.00°
Element x y z (fractional)
1 Al 0.0000 0.0000 0.0000
2 Cd 0.0000 0.0000 0.5000
3 Cd 0.0000 0.5000 0.0000
4 Cd 0.5000 0.0000 0.0000
5 B 0.5000 0.5000 0.5000

=====

Record 6
The following is a DFT calculation (SCAN) of Al2CdB at its PBEsol-relaxed geometry.

The energy relative to the elements comes out at 375 meV per atom. As for the total moment: 0.000 Bohr magnetons per cell.

a = 5.7064 Å, b = 5.7064 Å, c = 5.7064 Å
α = 100.59°, β = 100.59°, γ = 129.24°
Element x y z (fractional)
1 Al 0.0188 0.6250 0.8938
2 Al 0.3750 0.2688 0.3938
3 Al 0.7312 0.1250 0.1062
4 Al 0.8750 0.9812 0.6062
5 Cd 0.2500 0.7500 0.5000
6 Cd 0.5000 0.5000 0.0000
7 B 0.0000 0.0000 0.0000
8 B 0.7500 0.2500 0.5000

=====

Record 7
The following is a DFT calculation (SCAN) of AlZnCd2B at its PBEsol-relaxed geometry.

The energy relative to the elements comes out at 481 meV per atom. As for the total moment: 0.000 Bohr magnetons per cell.

a = 4.7157 Å, b = 4.7157 Å, c = 4.0071 Å
α = 90.00°, β = 90.00°, γ = 90.00°
Element x y z (fractional)
1 Al 0.0000 0.0000 0.0000
2 Zn 0.5000 0.5000 0.0000
3 Cd 0.0000 0.5000 0.5000
4 Cd 0.5000 0.0000 0.5000
5 B 0.0000 0.0000 0.5000

=====

Record 8
The following is a DFT calculation (SCAN) of CeAl2BRu2 at its PBEsol-relaxed geometry.

The energy relative to the elements comes out at -732 meV per atom. As for the total moment: 0.801 Bohr magnetons per cell.

a = 4.1585 Å, b = 4.1585 Å, c = 5.4981 Å
α = 90.00°, β = 90.00°, γ = 90.00°
Element x y z (fractional)
1 Ce 0.0000 0.0000 0.0000
2 Al 0.5000 0.5000 0.2398
3 Al 0.5000 0.5000 0.7602
4 B 0.0000 0.0000 0.5000
5 Ru 0.0000 0.5000 0.5000
6 Ru 0.5000 0.0000 0.5000

=====

Record 9
The following is a DFT calculation (SCAN) of AlBCl3 at its PBEsol-relaxed geometry.

The formation energy from raw total energies is 5.0 kJ/mol of atoms. As for the total moment: 0.686 Bohr magnetons per cell.

a = 4.7020 Å, b = 4.7020 Å, c = 4.7020 Å
α = 90.00°, β = 90.00°, γ = 90.00°
Element x y z (fractional)
1 Al 0.0000 0.0000 0.0000
2 B 0.5000 0.5000 0.5000
3 Cl 0.0000 0.0000 0.5000
4 Cl 0.0000 0.5000 0.0000
5 Cl 0.5000 0.0000 0.0000

=====

Record 10
The following is a DFT calculation (SCAN) of Al2NiBCl at its PBEsol-relaxed geometry.

The formation energy from raw total energies is 15.1 kJ/mol of atoms. As for the total moment: 0.000 Bohr magnetons per cell.

a = 4.3369 Å, b = 4.3369 Å, c = 3.8415 Å
α = 90.00°, β = 90.00°, γ = 90.00°
Element x y z (fractional)
1 Al 0.0000 0.5000 0.0000
2 Al 0.5000 0.0000 0.0000
3 Ni 0.0000 0.0000 0.5000
4 B 0.0000 0.0000 0.0000
5 Cl 0.5000 0.5000 0.5000

=====

Record 11
The following is a DFT calculation (SCAN) of AlB2PtCl at its PBEsol-relaxed geometry.

The formation energy from raw total energies is 52.2 kJ/mol of atoms. As for the total moment: 0.000 Bohr magnetons per cell.

a = 3.9904 Å, b = 3.9904 Å, c = 6.4082 Å
α = 90.00°, β = 90.00°, γ = 90.00°
Element x y z (fractional)
1 Al 0.0000 0.0000 0.0000
2 B 0.0000 0.5000 0.5000
3 B 0.5000 0.0000 0.5000
4 Pt 0.5000 0.5000 0.5000
5 Cl 0.5000 0.5000 0.0000

=====

Record 12
The following is a DFT calculation (SCAN) of AlBS2Cl at its PBEsol-relaxed geometry.

The formation energy from raw total energies is 38.1 kJ/mol of atoms. As for the total moment: 0.000 Bohr magnetons per cell.

a = 4.1516 Å, b = 4.1516 Å, c = 4.3258 Å
α = 90.00°, β = 90.00°, γ = 90.00°
Element x y z (fractional)
1 Al 0.0000 0.0000 0.0000
2 B 0.5000 0.5000 0.5000
3 S 0.0000 0.5000 0.5000
4 S 0.5000 0.0000 0.5000
5 Cl 0.5000 0.5000 0.0000

=====

What did the seventh record say?
The following is a DFT calculation (SCAN) of AlZnCd2B at its PBEsol-relaxed geometry.

The energy relative to the elements comes out at 481 meV per atom. As for the total moment: 0.000 Bohr magnetons per cell.

a = 4.7157 Å, b = 4.7157 Å, c = 4.0071 Å
α = 90.00°, β = 90.00°, γ = 90.00°
Element x y z (fractional)
1 Al 0.0000 0.0000 0.0000
2 Zn 0.5000 0.5000 0.0000
3 Cd 0.0000 0.5000 0.5000
4 Cd 0.5000 0.0000 0.5000
5 B 0.0000 0.0000 0.5000